Record 1
A geometry-optimized Na2SnSe2 structure. Source: the Alexandria database, functional PBE.

Cell lengths 7.6178, 7.6178, 10.0080 Å; angles 90.00, 90.00, 149.10 degrees
With the nearest neighbours (Å) after each atom.
Fractional positions:
Na: 0.0990 0.9010 0.5000  4 Se 2.89-3.13
Na: 0.1605 0.8395 0.1371  3 Se 2.89-3.04
Na: 0.8395 0.1605 0.6371  3 Se 2.89-3.04
Na: 0.9010 0.0990 0.0000  4 Se 2.89-3.13
Sn: 0.3651 0.6349 0.3152  3 Se 2.61-2.83
Sn: 0.6349 0.3651 0.8152  3 Se 2.61-2.83
Se: 0.2630 0.7370 0.8736  2 Sn 2.83, 3 Na 3.04-3.13
Se: 0.4608 0.5392 0.5351  1 Sn 2.61, 4 Na 2.89
Se: 0.5392 0.4608 0.0351  1 Sn 2.61, 4 Na 2.89
Se: 0.7370 0.2630 0.3736  2 Sn 2.83, 3 Na 3.04-3.13

SG: Cmc2_1, No. 36
Final energy, eV/atom: -3.498
Formation energy (no corrections), eV/atom: -0.7757


Record 2
A geometry-optimized Si2TcAs structure. Source: the Alexandria database, functional PBE.

Cell lengths 3.0355, 3.0355, 7.0772 Å; angles 90.00, 90.00, 90.00 degrees
With the nearest neighbours (Å) after each atom.
Fractional positions:
Si: 0.0000 0.0000 0.0000  4 Si 2.60, 1 Tc 2.76
Si: 0.5000 0.5000 0.2067  4 Tc 2.51, 4 Si 2.60
Tc: 0.0000 0.0000 0.3902  5 Si 2.51-2.76, 4 As 2.68
As: 0.5000 0.5000 0.6172  4 Tc 2.68, 1 Si 2.90

SG: P4mm, No. 99
Final energy, eV/atom: -6.434
Formation energy (no corrections), eV/atom: 0.0317


Record 3
A geometry-optimized CuHW structure. Source: the Alexandria database, functional PBE.

Cell lengths 2.8264, 4.1852, 5.3001 Å; angles 90.04, 102.26, 90.27 degrees
With the nearest neighbours (Å) after each atom.
Fractional positions:
Cu: 0.0000 0.0000 0.0000  2 H 1.84-1.86
Cu: 0.1140 0.4863 0.2378  3 H 1.86-1.97
H: 0.5474 0.7669 0.1335  4 Cu 1.84-1.97
H: 0.7988 0.4941 0.5148  1 Cu 1.87, 2 W 1.88-1.98
W: 0.4235 0.4914 0.7673  2 H 1.88-1.98
W: 0.6726 0.9943 0.4935  3 H 2.09-2.12

SG: P1, No. 1
Final energy, eV/atom: -6.540